No. 1
Compound: Ce2PrGe2Ir2
Source: Alexandria
Functional: PBE
Structure: relaxed

Cell: 9.130 9.130 9.130 Å, 28.10 28.10 28.10°
Sites, in units of the cell vectors:
1 Ce 0.140 0.140 0.140
2 Ce 0.860 0.860 0.860
3 Pr 0.000 0.000 0.000
4 Ge 0.262 0.262 0.262
5 Ge 0.738 0.738 0.738
6 Ir 0.425 0.425 0.425
7 Ir 0.575 0.575 0.575

Output
ΔE_f = -753 meV/atom


No. 2
Compound: CePrGeIr
Source: Alexandria
Functional: PBE
Structure: relaxed

Cell: 4.620 4.620 10.168 Å, 90.00 90.00 90.00°
Sites, in units of the cell vectors:
1 Ce 0.250 0.750 0.000
2 Ce 0.750 0.250 0.000
3 Pr 0.250 0.250 0.329
4 Pr 0.750 0.750 0.671
5 Ge 0.250 0.250 0.612
6 Ge 0.750 0.750 0.388
7 Ir 0.250 0.250 0.847
8 Ir 0.750 0.750 0.153

Output
ΔE_f = -472 meV/atom


Number 1: V 149.17 Å³/cell. Number 2: V 217.03 Å³/cell.